Pm4GeTe2Se, optimized geometry, DFT PBE-GGA; E_form (uncorrected) = -1.4687 eV/atom
1.0
-3.971 0.014 1.714
-2.894 -1.622 -6.689
1.578 -6.547 3.706
Pm Te Se Ge
4 2 1 1
direct
0.500 0.752 0.778 Pm
0.000 0.735 0.223 Pm
0.000 0.265 0.777 Pm
0.500 0.248 0.222 Pm
0.000 0.500 0.500 Te
0.500 0.000 0.500 Te
0.000 0.000 0.000 Se
0.500 0.500 0.000 Ge